# 1
The following is a DFT calculation (PBE) of CoAu2Br after structural relaxation.

Summary:
As for the density of states at the Fermi level: 22.580 states/eV per cell. The value obtained for the energy above the most stable polymorph in this dataset is 0.2950 eV/atom. As for the formation energy (no corrections): 0.53 eV/atom.

Lattice parameters (Å, degrees): 8.4924 8.4924 4.7483 90.00 90.00 90.00
Fractional coordinates of all 16 atoms:
Co1 0.0000 0.0000 0.0000
Co2 0.0000 0.5000 0.2500
Co3 0.5000 0.0000 0.7500
Co4 0.5000 0.5000 0.5000
Au1 0.1680 0.2500 0.1250
Au2 0.2500 0.6680 0.3750
Au3 0.2500 0.8320 0.8750
Au4 0.3320 0.2500 0.6250
Au5 0.6680 0.7500 0.6250
Au6 0.7500 0.1680 0.8750
Au7 0.7500 0.3320 0.3750
Au8 0.8320 0.7500 0.1250
Br1 0.0000 0.0000 0.5000
Br2 0.0000 0.5000 0.7500
Br3 0.5000 0.0000 0.2500
Br4 0.5000 0.5000 0.0000


# 2
The following is a DFT calculation (PBE) of Dy4SeS5 after structural relaxation.

Summary:
The value obtained for the energy above the most stable polymorph in this dataset is 0.0130 eV/atom. As for the formation energy (no corrections): -1.98 eV/atom.

Lattice parameters (Å, degrees): 8.8375 8.8375 8.1215 106.93 106.93 26.14
Fractional coordinates of all 10 atoms:
Dy1 0.0040 0.0040 0.2693
Dy2 0.3152 0.3152 0.8686
Dy3 0.6848 0.6848 0.1314
Dy4 0.9960 0.9960 0.7307
Se1 0.5000 0.5000 0.0000
S1 0.1609 0.1609 0.8789
S2 0.1624 0.1624 0.3317
S3 0.5000 0.5000 0.5000
S4 0.8376 0.8376 0.6683
S5 0.8391 0.8391 0.1211


# 3
The following is a DFT calculation (PBE) of RhPbS2 after structural relaxation.

Summary:
As for the density of states at the Fermi level: 6.002 states/eV per cell. As for the formation energy (no corrections): -0.38 eV/atom.

Lattice parameters (Å, degrees): 3.5610 3.5610 24.6448 90.00 90.00 120.00
Fractional coordinates of all 12 atoms:
Rh1 0.0000 0.0000 0.0000
Rh2 0.3333 0.6667 0.6667
Rh3 0.6667 0.3333 0.3333
Pb1 0.0000 0.0000 0.5000
Pb2 0.3333 0.6667 0.1667
Pb3 0.6667 0.3333 0.8333
S1 0.0000 0.0000 0.3818
S2 0.0000 0.0000 0.6182
S3 0.3333 0.6667 0.0484
S4 0.3333 0.6667 0.2849
S5 0.6667 0.3333 0.7151
S6 0.6667 0.3333 0.9516


# 4
The following is a DFT calculation (PBE) of Tb5Y3 after structural relaxation.

Summary:
As for the density of states at the Fermi level: 13.691 states/eV per cell. The calculation puts the formation energy at 0.007 eV/atom.

Lattice parameters (Å, degrees): 3.6459 5.6618 12.6202 90.00 90.00 90.00
Fractional coordinates of all 8 atoms:
Tb1 0.0000 0.0000 0.0000
Tb2 0.0000 0.0000 0.4980
Tb3 0.0000 0.5000 0.3306
Tb4 0.5000 0.0000 0.2496
Tb5 0.5000 0.5000 0.0819
Y1 0.0000 0.5000 0.8329
Y2 0.5000 0.0000 0.7481
Y3 0.5000 0.5000 0.5812


# 5
The following is a DFT calculation (PBE) of PmGa3Rh3 after structural relaxation.

Summary:
As for the density of states at the Fermi level: 16.373 states/eV per cell. The value obtained for the energy above the most stable polymorph in this dataset is 0.0000 eV/atom. The calculation puts the formation energy at -0.625 eV/atom.

Lattice parameters (Å, degrees): 7.7841 7.7841 7.7841 90.00 90.00 90.00
Fractional coordinates of all 28 atoms:
Pm1 0.0614 0.4386 0.5614
Pm2 0.4386 0.5614 0.0614
Pm3 0.5614 0.0614 0.4386
Pm4 0.9386 0.9386 0.9386
Ga1 0.0061 0.8067 0.5835
Ga2 0.0835 0.4939 0.1933
Ga3 0.1933 0.0835 0.4939
Ga4 0.3067 0.9165 0.9939
Ga5 0.4165 0.5061 0.6933
Ga6 0.4939 0.1933 0.0835
Ga7 0.5061 0.6933 0.4165
Ga8 0.5835 0.0061 0.8067
Ga9 0.6933 0.4165 0.5061
Ga10 0.8067 0.5835 0.0061
Ga11 0.9165 0.9939 0.3067
Ga12 0.9939 0.3067 0.9165
Rh1 0.1164 0.6164 0.8836
Rh2 0.1691 0.1691 0.1691
Rh3 0.2111 0.7889 0.2889
Rh4 0.2889 0.2111 0.7889
Rh5 0.3309 0.8309 0.6691
Rh6 0.3836 0.3836 0.3836
Rh7 0.6164 0.8836 0.1164
Rh8 0.6691 0.3309 0.8309
Rh9 0.7111 0.7111 0.7111
Rh10 0.7889 0.2889 0.2111
Rh11 0.8309 0.6691 0.3309
Rh12 0.8836 0.1164 0.6164


# 6
The following is a DFT calculation (PBE) of Pm14HoZr after structural relaxation.

Summary:
As for the density of states at the Fermi level: 23.398 states/eV per cell. The calculation puts the formation energy at 0.045 eV/atom.

Lattice parameters (Å, degrees): 7.2266 7.2266 10.1980 90.00 90.00 90.00
Fractional coordinates of all 16 atoms:
Pm1 0.0000 0.0000 0.0000
Pm2 0.0000 0.5000 0.0000
Pm3 0.0000 0.5000 0.5000
Pm4 0.2450 0.2450 0.2570
Pm5 0.2450 0.2450 0.7430
Pm6 0.2450 0.7550 0.2570
Pm7 0.2450 0.7550 0.7430
Pm8 0.5000 0.0000 0.0000
Pm9 0.5000 0.0000 0.5000
Pm10 0.5000 0.5000 0.0000
Pm11 0.7550 0.2450 0.2570
Pm12 0.7550 0.2450 0.7430
Pm13 0.7550 0.7550 0.2570
Pm14 0.7550 0.7550 0.7430
Ho1 0.5000 0.5000 0.5000
Zr1 0.0000 0.0000 0.5000


# 7
The following is a DFT calculation (PBE) of TbNiGe after structural relaxation.

Summary:
As for the density of states at the Fermi level: 2.166 states/eV per cell. The calculation puts the formation energy at -0.753 eV/atom.

Lattice parameters (Å, degrees): 4.2131 4.2131 3.6289 90.00 90.00 120.00
Fractional coordinates of all 3 atoms:
Tb1 0.0000 0.0000 0.0000
Ni1 0.3333 0.6667 0.5000
Ge1 0.6667 0.3333 0.5000


# 8
The following is a DFT calculation (PBE) of TlIn3Se4 after structural relaxation.

Summary:
As for the formation energy (no corrections): -0.48 eV/atom.

Lattice parameters (Å, degrees): 8.2138 8.2138 6.9140 90.00 90.00 90.00
Fractional coordinates of all 16 atoms:
Tl1 0.0000 0.0000 0.0000
Tl2 0.5000 0.5000 0.5000
In1 0.0000 0.0000 0.5000
In2 0.0000 0.5000 0.0000
In3 0.0000 0.5000 0.5000
In4 0.5000 0.0000 0.0000
In5 0.5000 0.0000 0.5000
In6 0.5000 0.5000 0.0000
Se1 0.1728 0.3272 0.7500
Se2 0.1728 0.6728 0.2500
Se3 0.3272 0.1728 0.2500
Se4 0.3272 0.8272 0.7500
Se5 0.6728 0.1728 0.7500
Se6 0.6728 0.8272 0.2500
Se7 0.8272 0.3272 0.2500
Se8 0.8272 0.6728 0.7500


# 9
The following is a DFT calculation (PBE) of Cr2CdBi after structural relaxation.

Summary:
As for the density of states at the Fermi level: 10.646 states/eV per cell. The value obtained for the energy above the most stable polymorph in this dataset is 0.0000 eV/atom. The calculation puts the formation energy at 0.547 eV/atom.

Lattice parameters (Å, degrees): 6.9553 6.9553 6.9553 90.00 90.00 90.00
Fractional coordinates of all 16 atoms:
Cr1 0.2500 0.2500 0.2500
Cr2 0.2500 0.2500 0.7500
Cr3 0.2500 0.7500 0.2500
Cr4 0.2500 0.7500 0.7500
Cr5 0.7500 0.2500 0.2500
Cr6 0.7500 0.2500 0.7500
Cr7 0.7500 0.7500 0.2500
Cr8 0.7500 0.7500 0.7500
Cd1 0.0000 0.0000 0.0000
Cd2 0.0000 0.5000 0.5000
Cd3 0.5000 0.0000 0.5000
Cd4 0.5000 0.5000 0.0000
Bi1 0.0000 0.0000 0.5000
Bi2 0.0000 0.5000 0.0000
Bi3 0.5000 0.0000 0.0000
Bi4 0.5000 0.5000 0.5000


# 10
The following is a DFT calculation (PBE) of YTlCd2 after structural relaxation.

Summary:
As for the density of states at the Fermi level: 8.183 states/eV per cell. The value obtained for the energy above the most stable polymorph in this dataset is 0.2221 eV/atom. The calculation puts the formation energy at -0.051 eV/atom.

Lattice parameters (Å, degrees): 8.3831 8.3831 6.3027 90.00 90.00 90.00
Fractional coordinates of all 16 atoms:
Y1 0.0000 0.0000 0.0000
Y2 0.0000 0.5000 0.2500
Y3 0.5000 0.0000 0.7500
Y4 0.5000 0.5000 0.5000
Tl1 0.0000 0.0000 0.5000
Tl2 0.0000 0.5000 0.7500
Tl3 0.5000 0.0000 0.2500
Tl4 0.5000 0.5000 0.0000
Cd1 0.2339 0.2500 0.6250
Cd2 0.2500 0.7339 0.8750
Cd3 0.2500 0.7661 0.3750
Cd4 0.2661 0.2500 0.1250
Cd5 0.7339 0.7500 0.1250
Cd6 0.7500 0.2339 0.3750
Cd7 0.7500 0.2661 0.8750
Cd8 0.7661 0.7500 0.6250


# 11
The following is a DFT calculation (PBE) of ZrGaHRu2 after structural relaxation.

Summary:
As for the density of states at the Fermi level: 2.486 states/eV per cell. For the total energy, the calculation gives -0.2578 hartree per atom.

Lattice parameters (Å, degrees): 4.1196 4.1196 3.8833 90.00 90.00 90.00
Fractional coordinates of all 5 atoms:
Zr1 0.0000 0.0000 0.0000
Ga1 0.5000 0.5000 0.0000
H1 0.0000 0.0000 0.5000
Ru1 0.0000 0.5000 0.5000
Ru2 0.5000 0.0000 0.5000


# 12
The following is a DFT calculation (PBE) of PmTlCu2O5 after structural relaxation.

Summary:
As for the density of states at the Fermi level: 5.389 states/eV per cell. As for the formation energy (no corrections): -1.23 eV/atom.

Lattice parameters (Å, degrees): 3.8227 3.8227 8.0403 90.00 90.00 90.00
Fractional coordinates of all 9 atoms:
Pm1 0.0000 0.0000 0.0000
Tl1 0.0000 0.0000 0.5000
Cu1 0.5000 0.5000 0.2404
Cu2 0.5000 0.5000 0.7596
O1 0.0000 0.5000 0.1859
O2 0.0000 0.5000 0.8141
O3 0.5000 0.0000 0.1859
O4 0.5000 0.0000 0.8141
O5 0.5000 0.5000 0.5000


Number 9 is which compound?
Cr2CdBi